Record 1
{
  "formula": "Sc2WAu",
  "functional": "meta-GGA SCAN",
  "state": "single point on PBEsol structure",
  "cell": [[2.977, 0.000, 0.000], [1.489, 2.578, 0.000], [1.489, 0.859, 10.012]],
  "species": ["Sc", "Sc", "Au", "W"],
  "frac_coords": [[0.909, 0.909, 0.273], [0.091, 0.091, 0.727], [0.000, 0.000, 0.000], [0.500, 0.500, 0.500]],
  "delta_e_f_mev_per_atom": 326,
  "spacegroup": "No. 166",
  "vol_a3_per_atom": 19.21
}



Record 2
{
  "formula": "TaTeMo2",
  "functional": "meta-GGA SCAN",
  "state": "single point on PBEsol structure",
  "cell": [[3.163, 0.000, 0.000], [1.582, 2.739, 0.000], [1.582, 0.913, 8.254]],
  "species": ["Mo", "Mo", "Ta", "Te"],
  "frac_coords": [[0.247, 0.247, 0.260], [0.753, 0.753, 0.740], [0.500, 0.500, 0.500], [0.000, 0.000, 0.000]],
  "e_form_raw_mev_per_atom": 374,
  "spacegroup": "No. 166",
  "vol_a3_per_atom": 17.88
}



Record 3
{
  "formula": "SbPd2Br",
  "functional": "meta-GGA SCAN",
  "state": "single point on PBEsol structure",
  "cell": [[-0.361, -6.014, 1.416], [5.330, 1.678, -2.660], [-0.008, 3.778, 4.902]],
  "species": ["Sb", "Sb", "Br", "Br", "Pd", "Pd", "Pd", "Pd"],
  "frac_coords": [[0.000, 0.000, 0.000], [0.500, 0.750, 0.250], [0.000, 0.500, 0.500], [0.500, 0.250, 0.750], [0.010, 0.635, 0.125], [0.990, 0.115, 0.625], [0.490, 0.375, 0.365], [0.510, 0.875, 0.885]],
  "e_form_raw_mev_per_atom": -132,
  "spacegroup": "No. 122",
  "vol_a3_per_atom": 22.36
}



Record 4
{
  "formula": "AsPbAu",
  "functional": "meta-GGA SCAN",
  "state": "single point on PBEsol structure",
  "cell": [[3.230, 0.000, 0.000], [0.000, 3.741, 0.000], [-1.615, -1.871, 5.524]],
  "species": ["Pb", "As", "Au"],
  "frac_coords": [[0.673, 0.673, 0.346], [0.963, 0.963, 0.925], [0.364, 0.364, 0.729]],
  "delta_e_f_mev_per_atom": 118,
  "spacegroup": "No. 44",
  "vol_a3_per_atom": 22.25
}



Record 5
{
  "formula": "SrLa2As2",
  "functional": "meta-GGA SCAN",
  "state": "single point on PBEsol structure",
  "cell": [[5.567, 0.000, 0.000], [0.000, 5.567, 0.000], [-2.783, -2.783, 5.653]],
  "species": ["Sr", "As", "As", "La", "La"],
  "frac_coords": [[0.000, 0.000, 0.000], [0.250, 0.750, 0.500], [0.750, 0.250, 0.500], [0.323, 0.323, 0.647], [0.677, 0.677, 0.353]],
  "delta_e_f_mev_per_atom": -1022,
  "spacegroup": "No. 139",
  "vol_a3_per_atom": 35.04
}



Record 6
{
  "formula": "Tb2IrPd",
  "functional": "meta-GGA SCAN",
  "state": "single point on PBEsol structure",
  "cell": [[4.836, 0.000, 0.000], [2.418, 4.188, 0.000], [2.418, 1.396, 3.949]],
  "species": ["Ir", "Tb", "Tb", "Pd"],
  "frac_coords": [[0.500, 0.500, 0.500], [0.250, 0.250, 0.250], [0.750, 0.750, 0.750], [0.000, 0.000, 0.000]],
  "delta_e_f_mev_per_atom": -1022,
  "spacegroup": "No. 225",
  "vol_a3_per_atom": 20.00
}



Record 7
{
  "formula": "Ca2ZnIn",
  "functional": "meta-GGA SCAN",
  "state": "single point on PBEsol structure",
  "cell": [[3.557, 0.000, 0.000], [0.000, 5.273, 0.000], [-1.779, -2.636, 5.483]],
  "species": ["Zn", "Ca", "Ca", "In"],
  "frac_coords": [[0.232, 0.732, 0.463], [0.966, 0.966, 0.933], [0.765, 0.265, 0.530], [0.537, 0.537, 0.074]],
  "delta_e_f_mev_per_atom": -358,
  "spacegroup": "No. 44",
  "vol_a3_per_atom": 25.71
}



Record 8
{
  "formula": "Tl2CdPt",
  "functional": "meta-GGA SCAN",
  "state": "single point on PBEsol structure",
  "cell": [[3.555, 0.000, 0.000], [1.777, 3.078, 0.000], [1.777, 1.026, 8.366]],
  "species": ["Tl", "Tl", "Pt", "Cd"],
  "frac_coords": [[0.259, 0.259, 0.222], [0.741, 0.741, 0.778], [0.000, 0.000, 0.000], [0.500, 0.500, 0.500]],
  "delta_e_f_mev_per_atom": 111,
  "spacegroup": "No. 166",
  "vol_a3_per_atom": 22.89
}